[1]
DFT (SCAN) results for a PBEsol-optimized structure of Ta3W.

Geometry as POSCAR:
```
Ta3W
1.0
4.595 -4.577 0.000
4.595 4.577 0.000
-0.008 0.000 6.477
Ta W
12 4
direct
0.000 0.000 0.000
0.000 0.000 0.496
0.000 0.504 0.000
0.000 0.504 0.495
0.254 0.254 0.750
0.254 0.749 0.245
0.255 0.749 0.750
0.504 0.000 0.000
0.504 0.000 0.495
0.504 0.504 0.495
0.749 0.254 0.245
0.749 0.255 0.750
0.253 0.253 0.246
0.503 0.503 0.999
0.751 0.751 0.246
0.751 0.751 0.749
```

[2]
DFT (SCAN) results for a PBEsol-optimized structure of BaY2Sc.

Geometry as POSCAR:
```
BaY2Sc
1.0
3.571 0.000 0.000
0.000 3.571 0.000
0.000 0.000 10.338
Ba Y Sc
1 2 1
direct
0.000 0.000 0.000
0.000 0.000 0.479
0.500 0.500 0.709
0.500 0.500 0.271
```

Calculated values
Energy above the most stable polymorph in this dataset: 0.0 meV/atom

| no. | formation energy from the elements (eV/f.u.) | total energy (eV per atom) | DOS(E_F) (states/eV per cell) |
| --- | --- | --- | --- |
| 1 | -0.15 | -67.3982 | 17.50 |
| 2 | 0.84 | -27.1593 | 3.58 |